# MgBeHS | the Alexandria database | PBE-GGA | relaxed
# E_tot: -3.57 eV/atom
data_MgBeHS
_space_group_name_H-M_alt 'P 1 m 1'
_space_group_IT_number 6
_cell_length_a 3.805
_cell_length_b 3.458
_cell_length_c 4.844
_cell_angle_alpha 90.00
_cell_angle_beta 112.75
_cell_angle_gamma 90.00
loop_
_space_group_symop_operation_xyz
'x,y,z'
'x,-y,z'
loop_
_atom_site_label
_atom_site_type_symbol
_atom_site_fract_x
_atom_site_fract_y
_atom_site_fract_z
Mg1 Mg 0.000 0.000 0.000
Be1 Be 0.603 0.500 0.197
H1 H 0.611 0.500 0.908
S1 S 0.720 0.000 0.428